Record 1
DFT (PBE-GGA) results for a geometry-optimized RbAgTe2Au structure.

The formation energy (no corrections) is -379 meV/atom. The value obtained for the total energy is -3.055 eV per atom. For the theoretical density, the calculation gives 6.2 g/cm3.

The space group is Cmme (No. 67) and the conventional cell measures 7.111, 12.501 and 7.822 Å, with angles of 90.00, 90.00 and 90.00 degrees. Symmetry generates all atoms from Rb at (0.000, 0.250, 0.248), Ag at (0.250, 0.000, 0.500), Te at (0.000, 0.110, 0.717) and Au at (0.000, 0.000, 0.000).

***

Record 2
DFT (PBE-GGA) results for a geometry-optimized RbAgTe6Au structure.

The formation energy (no corrections) is -99 meV/atom. The value obtained for the total energy is -2.982 eV per atom. For the theoretical density, the calculation gives 6.1 g/cm3.

The space group is Imma (No. 74) and the conventional cell measures 8.368, 9.768 and 15.407 Å, with angles of 90.00, 90.00 and 90.00 degrees. Symmetry generates all atoms from Rb at (0.000, 0.250, 0.161), Ag at (0.250, 0.250, 0.750), Te at (0.000, 0.250, 0.399), Te at (0.000, 0.250, 0.906), Te at (0.232, 0.035, 0.627) and Au at (0.000, 0.000, 0.500).

***

Record 3
DFT (PBE-GGA) results for a geometry-optimized RbAgTeAu structure.

The formation energy (no corrections) is -295 meV/atom. The value obtained for the total energy is -2.854 eV per atom. For the theoretical density, the calculation gives 7.0 g/cm3.

The space group is P4/nmm (No. 129, origin choice 2) and the conventional cell measures 4.168, 4.168 and 14.130 Å, with angles of 90.00, 90.00 and 90.00 degrees. Symmetry generates all atoms from Rb at (0.250, 0.250, 0.208), Ag at (0.250, 0.750, 0.500), Te at (0.250, 0.250, 0.639) and Au at (0.250, 0.750, 0.000).

***

Record 4
DFT (PBE-GGA) results for a geometry-optimized Rb2TlAgAu structure.

The value obtained for the total energy is -2.009 eV per atom. For the theoretical density, the calculation gives 4.9 g/cm3. As for the energy of formation from the pure elements: 0.0766 eV per atom.

The space group is P4/mmm (No. 123) and the conventional cell measures 6.524, 6.524 and 5.417 Å, with angles of 90.00, 90.00 and 90.00 degrees. Symmetry generates all atoms from Rb at (0.000, 0.500, 0.000), Tl at (0.000, 0.000, 0.500), Ag at (0.500, 0.500, 0.500) and Au at (0.000, 0.000, 0.000).

***

Record 5
DFT (PBE-GGA) results for a geometry-optimized Rb2ZnAgAu structure.

The value obtained for the total energy is -1.838 eV per atom. For the theoretical density, the calculation gives 4.2 g/cm3. As for the energy of formation from the pure elements: 0.0297 eV per atom.

The space group is P4/mmm (No. 123) and the conventional cell measures 6.521, 6.521 and 5.064 Å, with angles of 90.00, 90.00 and 90.00 degrees. Symmetry generates all atoms from Rb at (0.000, 0.500, 0.000), Zn at (0.000, 0.000, 0.500), Ag at (0.500, 0.500, 0.500) and Au at (0.000, 0.000, 0.000).

***

Record 6
DFT (PBE-GGA) results for a geometry-optimized RbZn2AgAu structure.

The value obtained for the total energy is -1.955 eV per atom. For the theoretical density, the calculation gives 6.2 g/cm3. As for the energy of formation from the pure elements: -0.0258 eV per atom.

The space group is P4/mmm (No. 123) and the conventional cell measures 5.025, 5.025 and 5.491 Å, with angles of 90.00, 90.00 and 90.00 degrees. Symmetry generates all atoms from Rb at (0.000, 0.000, 0.000), Zn at (0.000, 0.500, 0.500), Ag at (0.500, 0.500, 0.000) and Au at (0.500, 0.500, 0.500).

***

Record 7
DFT (PBE-GGA) results for a geometry-optimized RbZnAg2Au structure.

The value obtained for the total energy is -2.167 eV per atom. For the theoretical density, the calculation gives 6.4 g/cm3. As for the energy of formation from the pure elements: 0.0773 eV per atom.

The space group is P4/mmm (No. 123) and the conventional cell measures 5.385, 5.385 and 5.006 Å, with angles of 90.00, 90.00 and 90.00 degrees. Symmetry generates all atoms from Rb at (0.000, 0.000, 0.000), Zn at (0.500, 0.500, 0.000), Ag at (0.000, 0.500, 0.500) and Au at (0.500, 0.500, 0.500).

***

Record 8
DFT (PBE-GGA) results for a geometry-optimized Re3AgAu structure.

The value obtained for the total energy is -5.673 eV per atom. For the theoretical density, the calculation gives 12.7 g/cm3. As for the energy of formation from the pure elements: 3.0214 eV per atom. The offset from the most stable computed form comes out at 0.000 eV per atom.

The space group is Pm-3m (No. 221) and the conventional cell measures 4.828, 4.828 and 4.828 Å, with angles of 90.00, 90.00 and 90.00 degrees. Symmetry generates all atoms from Re at (0.000, 0.000, 0.500), Ag at (0.500, 0.500, 0.500) and Au at (0.000, 0.000, 0.000).

***

Record 9
DFT (PBE-GGA) results for a geometry-optimized ReAg2Au structure.

The value obtained for the total energy is -4.227 eV per atom. For the theoretical density, the calculation gives 12.8 g/cm3. As for the energy of formation from the pure elements: 1.1303 eV per atom. The offset from the most stable computed form comes out at 0.751 eV per atom.

The space group is I-42d (No. 122) and the conventional cell measures 7.531, 7.531 and 5.475 Å, with angles of 90.00, 90.00 and 90.00 degrees. Symmetry generates all atoms from Re at (0.000, 0.000, 0.000), Ag at (0.247, 0.250, 0.125) and Au at (0.000, 0.000, 0.500).

***

Record 10
DFT (PBE-GGA) results for a geometry-optimized Re2AgAu structure.

The value obtained for the total energy is -7.395 eV per atom. For the theoretical density, the calculation gives 17.0 g/cm3. As for the energy of formation from the pure elements: 0.3610 eV per atom. The offset from the most stable computed form comes out at 0.155 eV per atom.

The space group is Cmm2 (No. 35) and the conventional cell measures 2.921, 4.647 and 9.775 Å, with angles of 90.00, 90.00 and 90.00 degrees. Symmetry generates all atoms from Re at (0.000, 0.000, 0.000), Re at (0.000, 0.500, 0.220), Ag at (0.000, 0.500, 0.740) and Au at (0.000, 0.000, 0.481).

***

Record 11
DFT (PBE-GGA) results for a geometry-optimized Re2AgAu structure.

The value obtained for the total energy is -7.055 eV per atom. For the theoretical density, the calculation gives 17.4 g/cm3. As for the energy of formation from the pure elements: 0.7015 eV per atom. The offset from the most stable computed form comes out at 0.496 eV per atom.

The space group is P4/mmm (No. 123) and the conventional cell measures 3.813, 3.813 and 4.433 Å, with angles of 90.00, 90.00 and 90.00 degrees. Symmetry generates all atoms from Re at (0.000, 0.500, 0.000), Ag at (0.000, 0.000, 0.500) and Au at (0.500, 0.500, 0.500).

***

Record 12
DFT (PBE-GGA) results for a geometry-optimized Re2AgAu structure.

The value obtained for the total energy is -7.108 eV per atom. For the theoretical density, the calculation gives 17.0 g/cm3. As for the energy of formation from the pure elements: 0.6481 eV per atom. The offset from the most stable computed form comes out at 0.443 eV per atom.

The space group is P2/m (No. 10) and the conventional cell measures 2.773, 5.004 and 4.770 Å, with angles of 90.00, 91.08 and 90.00 degrees. Symmetry generates all atoms from Re at (0.193, 0.000, 0.245), Ag at (0.500, 0.500, 0.000) and Au at (0.000, 0.500, 0.500).

***

Record 13
DFT (PBE-GGA) results for a geometry-optimized ReAg2Au structure.

The value obtained for the total energy is -4.978 eV per atom. For the theoretical density, the calculation gives 14.7 g/cm3. As for the energy of formation from the pure elements: 0.3791 eV per atom. The offset from the most stable computed form comes out at 0.000 eV per atom.

The space group is R3m (No. 160, hexagonal axes) and the conventional cell measures 2.8492, 2.8492 and 28.8300 Å, with angles of 90.00, 90.00 and 120.00 degrees. Symmetry generates all atoms from Re at (0.0000, 0.0000, 0.0000), Ag at (0.0000, 0.0000, 0.2510), Ag at (0.0000, 0.0000, 0.4992) and Au at (0.0000, 0.0000, 0.7469).

***

Record 14
DFT (PBE-GGA) results for a geometry-optimized ReAg2Au structure.

The value obtained for the total energy is -4.815 eV per atom. For the theoretical density, the calculation gives 14.4 g/cm3. As for the energy of formation from the pure elements: 0.5423 eV per atom. The offset from the most stable computed form comes out at 0.163 eV per atom.

The space group is Pmmm (No. 47) and the conventional cell measures 2.733, 4.982 and 5.058 Å, with angles of 90.00, 90.00 and 90.00 degrees. Symmetry generates all atoms from Re at (0.000, 0.000, 0.000), Ag at (0.000, 0.500, 0.500), Ag at (0.500, 0.000, 0.500) and Au at (0.500, 0.500, 0.000).